(1)
SrBe3Ni: relaxed, GGA-PBE.

The energy of formation from the pure elements is 2.584 eV/atom. The calculated total energy is -5.72 eV/f.u.

The space group is Pm-3m (No. 221) and the conventional cell measures 5.178, 5.178 and 5.178 Å, with angles of 90.00, 90.00 and 90.00 degrees. Symmetry generates all atoms from Sr at (0.000, 0.000, 0.000), Be at (0.000, 0.000, 0.500) and Ni at (0.500, 0.500, 0.500).

(2)
Ca2LaZn: relaxed, GGA-PBE.

The energy of formation from the pure elements is -0.062 eV/atom. The calculated total energy is -10.45 eV/f.u.

The space group is P4/mmm (No. 123) and the conventional cell measures 3.638, 3.638 and 9.762 Å, with angles of 90.00, 90.00 and 90.00 degrees. Symmetry generates all atoms from Ca at (0.000, 0.000, 0.191), La at (0.500, 0.500, 0.500) and Zn at (0.500, 0.500, 0.000).

no.,ρ (Mg/m³)
1,2.07
2,3.66